Compound: Tb16Pm7Ho6
Source: Alexandria
Functional: PBE-GGA
Structure: optimized geometry

a = 11.1962 Å, b = 11.1962 Å, c = 11.1962 Å
α = 60.00°, β = 60.00°, γ = 60.00°
Closest atoms and distances in Å follow each position.
Element x y z (fractional)
Tb: 0.8738 0.8738 0.3787  4 Pm 3.42-3.46, 3 Tb 3.57, 3 Ho 3.59
Tb: 0.8738 0.8738 0.8738  4 Pm 3.42-3.46, 3 Tb 3.57, 3 Ho 3.59
Tb: 0.8738 0.3787 0.8738  4 Pm 3.42-3.46, 3 Tb 3.57, 3 Ho 3.59
Tb: 0.3787 0.8738 0.8738  4 Pm 3.42-3.46, 3 Tb 3.57, 3 Ho 3.59
Tb: 0.1262 0.1262 0.1262  4 Pm 3.42-3.46, 3 Tb 3.57, 3 Ho 3.59
Tb: 0.1262 0.1262 0.6213  4 Pm 3.42-3.46, 3 Tb 3.57, 3 Ho 3.59
Tb: 0.1262 0.6213 0.1262  4 Pm 3.42-3.46, 3 Tb 3.57, 3 Ho 3.59
Tb: 0.6213 0.1262 0.1262  4 Pm 3.42-3.46, 3 Tb 3.57, 3 Ho 3.59
Tb: 0.6507 0.6507 0.0479  3 Pm 3.26, 3 Tb 3.57, 3 Ho 3.63
Tb: 0.6507 0.6507 0.6507  3 Pm 3.26, 3 Tb 3.57, 3 Ho 3.63
Tb: 0.6507 0.0479 0.6507  3 Pm 3.26, 3 Tb 3.57, 3 Ho 3.63
Tb: 0.0479 0.6507 0.6507  3 Pm 3.26, 3 Tb 3.57, 3 Ho 3.63
Tb: 0.3493 0.3493 0.3493  3 Pm 3.26, 3 Tb 3.57, 3 Ho 3.63
Tb: 0.3493 0.3493 0.9521  3 Pm 3.26, 3 Tb 3.57, 3 Ho 3.63
Tb: 0.3493 0.9521 0.3493  3 Pm 3.26, 3 Tb 3.57, 3 Ho 3.63
Tb: 0.9521 0.3493 0.3493  3 Pm 3.26, 3 Tb 3.57, 3 Ho 3.63
Pm: 0.0000 0.0000 0.0000  8 Tb 3.46
Pm: 0.5000 0.0000 0.5000  8 Tb 3.26-3.42
Pm: 0.0000 0.5000 0.0000  8 Tb 3.26-3.42
Pm: 0.0000 0.5000 0.5000  8 Tb 3.26-3.42
Pm: 0.5000 0.0000 0.0000  8 Tb 3.26-3.42
Pm: 0.0000 0.0000 0.5000  8 Tb 3.26-3.42
Pm: 0.5000 0.5000 0.0000  8 Tb 3.26-3.42
Ho: 0.2655 0.7345 0.2655  8 Tb 3.59-3.63, 4 Pm 3.97
Ho: 0.7345 0.2655 0.7345  8 Tb 3.59-3.63, 4 Pm 3.97
Ho: 0.7345 0.2655 0.2655  8 Tb 3.59-3.63, 4 Pm 3.97
Ho: 0.2655 0.7345 0.7345  8 Tb 3.59-3.63, 4 Pm 3.97
Ho: 0.7345 0.7345 0.2655  8 Tb 3.59-3.63, 4 Pm 3.97
Ho: 0.2655 0.2655 0.7345  8 Tb 3.59-3.63, 4 Pm 3.97

---

Compound: Tb2Pm5Ho6
Source: Alexandria
Functional: PBE-GGA
Structure: optimized geometry

a = 3.5892 Å, b = 11.6452 Å, c = 20.4867 Å
α = 90.00°, β = 90.00°, γ = 90.00°
Closest atoms and distances in Å follow each position.
Element x y z (fractional)
Tb: 0.0000 0.3289 0.2893  3 Ho 3.32-3.60, 4 Pm 3.49-3.60, 2 Tb 3.59
Tb: 0.0000 0.6711 0.7107  3 Ho 3.32-3.60, 4 Pm 3.49-3.60, 2 Tb 3.59
Tb: 0.0000 0.8289 0.2107  3 Ho 3.32-3.60, 4 Pm 3.49-3.60, 2 Tb 3.59
Tb: 0.0000 0.1711 0.7893  3 Ho 3.32-3.60, 4 Pm 3.49-3.60, 2 Tb 3.59
Pm: 0.5000 0.3010 0.4500  6 Ho 3.55-3.61, 3 Pm 3.59-3.65, 2 Tb 3.76
Pm: 0.5000 0.6990 0.5500  6 Ho 3.55-3.61, 3 Pm 3.59-3.65, 2 Tb 3.76
Pm: 0.5000 0.8010 0.0500  6 Ho 3.55-3.61, 3 Pm 3.59-3.65, 2 Tb 3.76
Pm: 0.5000 0.1990 0.9500  6 Ho 3.55-3.61, 3 Pm 3.59-3.65, 2 Tb 3.76
Pm: 0.5000 0.5844 0.2732  5 Ho 3.35-3.50, 4 Tb 3.49-3.60, 2 Pm 3.59
Pm: 0.5000 0.4156 0.7268  5 Ho 3.35-3.50, 4 Tb 3.49-3.60, 2 Pm 3.59
Pm: 0.5000 0.0844 0.2268  5 Ho 3.35-3.50, 4 Tb 3.49-3.60, 2 Pm 3.59
Pm: 0.5000 0.9156 0.7732  5 Ho 3.35-3.50, 4 Tb 3.49-3.60, 2 Pm 3.59
Pm: 0.5000 0.5000 0.0000  6 Ho 3.37-3.47, 4 Pm 3.59-3.65
Pm: 0.5000 0.0000 0.5000  6 Ho 3.37-3.47, 4 Pm 3.59-3.65
Ho: 0.0000 0.0806 0.3685  1 Tb 3.32, 6 Pm 3.37-3.55, 4 Ho 3.48-3.59
Ho: 0.0000 0.9194 0.6315  1 Tb 3.32, 6 Pm 3.37-3.55, 4 Ho 3.48-3.59
Ho: 0.0000 0.5806 0.1315  1 Tb 3.32, 6 Pm 3.37-3.55, 4 Ho 3.48-3.59
Ho: 0.0000 0.4194 0.8685  1 Tb 3.32, 6 Pm 3.37-3.55, 4 Ho 3.48-3.59
Ho: 0.5000 0.3246 0.1370  2 Pm 3.35-3.47, 6 Ho 3.48-3.74, 2 Tb 3.60
Ho: 0.5000 0.6754 0.8630  2 Pm 3.35-3.47, 6 Ho 3.48-3.74, 2 Tb 3.60
Ho: 0.5000 0.8246 0.3630  2 Pm 3.35-3.47, 6 Ho 3.48-3.74, 2 Tb 3.60
Ho: 0.5000 0.1754 0.6370  2 Pm 3.35-3.47, 6 Ho 3.48-3.74, 2 Tb 3.60
Ho: 0.0000 0.5609 0.4191  6 Pm 3.50-3.61, 5 Ho 3.59-3.74, 1 Tb 3.79
Ho: 0.0000 0.4391 0.5809  6 Pm 3.50-3.61, 5 Ho 3.59-3.74, 1 Tb 3.79
Ho: 0.0000 0.0609 0.0809  6 Pm 3.50-3.61, 5 Ho 3.59-3.74, 1 Tb 3.79
Ho: 0.0000 0.9391 0.9191  6 Pm 3.50-3.61, 5 Ho 3.59-3.74, 1 Tb 3.79

---

Compound: Tb3Pm3Ho
Source: Alexandria
Functional: PBE-GGA
Structure: optimized geometry

a = 5.7619 Å, b = 9.6437 Å, c = 9.6433 Å
α = 120.00°, β = 90.00°, γ = 90.00°
Closest atoms and distances in Å follow each position.
Element x y z (fractional)
Tb: 0.2500 0.5224 0.6174  4 Tb 3.55-3.64, 5 Pm 3.56-3.66, 3 Ho 3.57-3.64
Tb: 0.2500 0.0951 0.4777  4 Tb 3.56-3.64, 5 Pm 3.56-3.66, 3 Ho 3.57-3.64
Tb: 0.2500 0.3826 0.9048  4 Tb 3.56-3.64, 5 Pm 3.56-3.66, 3 Ho 3.57-3.64
Tb: 0.7500 0.4776 0.3826  4 Tb 3.55-3.64, 5 Pm 3.56-3.66, 3 Ho 3.57-3.64
Tb: 0.7500 0.9049 0.5223  4 Tb 3.56-3.64, 5 Pm 3.56-3.66, 3 Ho 3.57-3.64
Tb: 0.7500 0.6174 0.0952  4 Tb 3.56-3.64, 5 Pm 3.56-3.66, 3 Ho 3.57-3.64
Pm: 0.7500 0.7587 0.8069  5 Tb 3.56-3.66, 6 Pm 3.58-3.69, 1 Ho 3.62
Pm: 0.7500 0.0482 0.2412  5 Tb 3.56-3.66, 6 Pm 3.58-3.69, 1 Ho 3.62
Pm: 0.7500 0.1931 0.9517  5 Tb 3.56-3.66, 6 Pm 3.58-3.69, 1 Ho 3.62
Pm: 0.2500 0.2413 0.1931  5 Tb 3.56-3.66, 6 Pm 3.58-3.69, 1 Ho 3.62
Pm: 0.2500 0.9518 0.7588  5 Tb 3.56-3.66, 6 Pm 3.58-3.69, 1 Ho 3.62
Pm: 0.2500 0.8069 0.0483  5 Tb 3.56-3.66, 6 Pm 3.58-3.69, 1 Ho 3.62
Ho: 0.7500 0.3334 0.6667  9 Tb 3.57-3.64, 3 Pm 3.62
Ho: 0.2500 0.6666 0.3333  9 Tb 3.57-3.64, 3 Pm 3.62

Output
ΔE to the lowest computed polymorph	0	meV/atom

---

Compound: Tb9Pm2Ho3
Source: Alexandria
Functional: PBE-GGA
Structure: optimized geometry

a = 6.2170 Å, b = 13.4867 Å, c = 10.5083 Å
α = 40.52°, β = 56.56°, γ = 55.30°
Closest atoms and distances in Å follow each position.
Element x y z (fractional)
Tb: 0.0000 0.5000 0.5000  4 Pm 3.47-3.63, 4 Tb 3.56-3.62, 2 Ho 3.77
Tb: 0.7401 0.9184 0.8313  3 Tb 3.21-3.48, 2 Pm 3.41-3.59, 1 Ho 3.53
Tb: 0.2599 0.0816 0.1687  3 Tb 3.21-3.48, 2 Pm 3.41-3.59, 1 Ho 3.53
Tb: 0.4014 0.6951 0.9915  3 Ho 3.36-3.54, 6 Tb 3.44-3.62, 1 Pm 3.69
Tb: 0.5986 0.3049 0.0085  3 Ho 3.36-3.54, 6 Tb 3.44-3.62, 1 Pm 3.69
Tb: 0.8053 0.8971 0.4855  3 Tb 3.20-3.41, 2 Ho 3.41-3.48, 1 Pm 3.54
Tb: 0.1947 0.1029 0.5145  3 Tb 3.20-3.41, 2 Ho 3.41-3.48, 1 Pm 3.54
Tb: 0.0129 0.4934 0.8414  7 Tb 3.38-3.56, 2 Pm 3.48-3.68, 2 Ho 3.49-3.55
Tb: 0.9871 0.5066 0.1586  7 Tb 3.38-3.56, 2 Pm 3.48-3.68, 2 Ho 3.49-3.55
Pm: 0.5745 0.2965 0.6733  8 Tb 3.41-3.69, 1 Pm 3.43, 2 Ho 3.45-3.49
Pm: 0.4255 0.7035 0.3267  8 Tb 3.41-3.69, 1 Pm 3.43, 2 Ho 3.45-3.49
Ho: 0.0000 0.0000 0.0000  6 Tb 3.43-3.71, 2 Pm 3.45
Ho: 0.6344 0.2760 0.3434  9 Tb 3.36-3.67, 1 Pm 3.49
Ho: 0.3656 0.7240 0.6566  9 Tb 3.36-3.67, 1 Pm 3.49

---

Compound: Tb3PmHo3
Source: Alexandria
Functional: PBE-GGA
Structure: optimized geometry

a = 5.6774 Å, b = 9.5737 Å, c = 9.5737 Å
α = 120.00°, β = 90.00°, γ = 90.00°
Closest atoms and distances in Å follow each position.
Element x y z (fractional)
Tb: 0.2500 0.8109 0.7619  6 Tb 3.52-3.61, 5 Ho 3.53-3.63, 1 Pm 3.62
Tb: 0.2500 0.2381 0.0489  6 Tb 3.52-3.61, 5 Ho 3.53-3.63, 1 Pm 3.62
Tb: 0.2500 0.9511 0.1891  6 Tb 3.52-3.61, 5 Ho 3.53-3.63, 1 Pm 3.62
Tb: 0.7500 0.1891 0.2381  6 Tb 3.52-3.61, 5 Ho 3.53-3.63, 1 Pm 3.62
Tb: 0.7500 0.7619 0.9511  6 Tb 3.52-3.61, 5 Ho 3.53-3.63, 1 Pm 3.62
Tb: 0.7500 0.0489 0.8109  6 Tb 3.52-3.61, 5 Ho 3.53-3.63, 1 Pm 3.62
Pm: 0.2500 0.6667 0.3333  9 Ho 3.52-3.62, 3 Tb 3.62
Pm: 0.7500 0.3333 0.6667  9 Ho 3.52-3.62, 3 Tb 3.62
Ho: 0.7500 0.6188 0.5232  3 Pm 3.52-3.62, 4 Ho 3.52-3.61, 5 Tb 3.53-3.63
Ho: 0.7500 0.4768 0.0957  3 Pm 3.52-3.62, 4 Ho 3.52-3.61, 5 Tb 3.53-3.63
Ho: 0.7500 0.9043 0.3812  3 Pm 3.52-3.62, 4 Ho 3.52-3.61, 5 Tb 3.53-3.63
Ho: 0.2500 0.3812 0.4768  3 Pm 3.52-3.62, 4 Ho 3.52-3.61, 5 Tb 3.53-3.63
Ho: 0.2500 0.5232 0.9043  3 Pm 3.52-3.62, 4 Ho 3.52-3.61, 5 Tb 3.53-3.63
Ho: 0.2500 0.0957 0.6188  3 Pm 3.52-3.62, 4 Ho 3.52-3.61, 5 Tb 3.53-3.63

Output
ΔE to the lowest computed polymorph	0	meV/atom

---

Compound: Tb6PmHo12
Source: Alexandria
Functional: PBE-GGA
Structure: optimized geometry

a = 8.5014 Å, b = 8.5014 Å, c = 8.5014 Å
α = 88.47°, β = 88.47°, γ = 88.47°
Closest atoms and distances in Å follow each position.
Element x y z (fractional)
Tb: 0.7436 0.9091 0.3134  6 Ho 3.26-3.60, 1 Pm 3.48, 2 Tb 3.49
Tb: 0.6866 0.2564 0.0909  6 Ho 3.26-3.60, 1 Pm 3.48, 2 Tb 3.49
Tb: 0.0909 0.6866 0.2564  6 Ho 3.26-3.60, 1 Pm 3.48, 2 Tb 3.49
Tb: 0.2564 0.0909 0.6866  6 Ho 3.26-3.60, 1 Pm 3.48, 2 Tb 3.49
Tb: 0.3134 0.7436 0.9091  6 Ho 3.26-3.60, 1 Pm 3.48, 2 Tb 3.49
Tb: 0.9091 0.3134 0.7436  6 Ho 3.26-3.60, 1 Pm 3.48, 2 Tb 3.49
Pm: 0.0000 0.0000 0.0000  6 Tb 3.48, 6 Ho 3.55
Ho: 0.7727 0.5438 0.4363  3 Tb 3.26-3.43, 6 Ho 3.26-3.53
Ho: 0.4363 0.7727 0.5438  3 Tb 3.26-3.43, 6 Ho 3.26-3.53
Ho: 0.5438 0.4363 0.7727  3 Tb 3.26-3.43, 6 Ho 3.26-3.53
Ho: 0.2273 0.4562 0.5637  3 Tb 3.26-3.43, 6 Ho 3.26-3.53
Ho: 0.5637 0.2273 0.4562  3 Tb 3.26-3.43, 6 Ho 3.26-3.53
Ho: 0.4562 0.5637 0.2273  3 Tb 3.26-3.43, 6 Ho 3.26-3.53
Ho: 0.0097 0.2113 0.3543  4 Ho 3.39-3.56, 4 Tb 3.50-3.67, 1 Pm 3.55
Ho: 0.7887 0.6457 0.9903  4 Ho 3.39-3.56, 4 Tb 3.50-3.67, 1 Pm 3.55
Ho: 0.6457 0.9903 0.7887  4 Ho 3.39-3.56, 4 Tb 3.50-3.67, 1 Pm 3.55
Ho: 0.9903 0.7887 0.6457  4 Ho 3.39-3.56, 4 Tb 3.50-3.67, 1 Pm 3.55
Ho: 0.2113 0.3543 0.0097  4 Ho 3.39-3.56, 4 Tb 3.50-3.67, 1 Pm 3.55
Ho: 0.3543 0.0097 0.2113  4 Ho 3.39-3.56, 4 Tb 3.50-3.67, 1 Pm 3.55

Output
ΔE to the lowest computed polymorph	140	meV/atom

---

Compound: Tb3Pm4Ho5
Source: Alexandria
Functional: PBE-GGA
Structure: optimized geometry

a = 5.9226 Å, b = 8.5629 Å, c = 9.6825 Å
α = 105.66°, β = 72.19°, γ = 69.77°
Closest atoms and distances in Å follow each position.
Element x y z (fractional)
Tb: 0.5239 0.6869 0.2654  5 Ho 3.11-3.45, 2 Pm 3.32-3.41
Tb: 0.0000 0.5000 0.5000  2 Ho 2.96
Tb: 0.4761 0.3131 0.7346  5 Ho 3.11-3.45, 2 Pm 3.32-3.41
Pm: 0.8612 0.2223 0.0553  2 Pm 3.28-3.66, 1 Tb 3.41, 3 Ho 3.43-3.53
Pm: 0.1674 0.0468 0.6184  3 Tb 3.32-3.54, 3 Pm 3.57-3.66, 3 Ho 3.67-3.70
Pm: 0.8326 0.9532 0.3816  3 Tb 3.32-3.54, 3 Pm 3.57-3.66, 3 Ho 3.67-3.70
Pm: 0.1388 0.7777 0.9447  2 Pm 3.28-3.66, 1 Tb 3.41, 3 Ho 3.43-3.53
Ho: 0.6287 0.9428 0.7998  2 Tb 3.27-3.47, 2 Ho 3.41-3.62, 2 Pm 3.67
Ho: 0.5000 0.5000 0.5000  4 Tb 2.96-3.11
Ho: 0.2138 0.4580 0.1144  4 Tb 3.19-3.45, 3 Pm 3.43-3.53
Ho: 0.7862 0.5420 0.8856  4 Tb 3.19-3.45, 3 Pm 3.43-3.53
Ho: 0.3713 0.0572 0.2002  2 Tb 3.27-3.47, 2 Ho 3.41-3.62, 2 Pm 3.67

Output
ΔE to the lowest computed polymorph	213	meV/atom

---

Compound: Tb4Pm5Ho3
Source: Alexandria
Functional: PBE-GGA
Structure: optimized geometry

a = 5.7957 Å, b = 5.7196 Å, c = 14.3424 Å
α = 84.35°, β = 78.34°, γ = 59.56°
Closest atoms and distances in Å follow each position.
Element x y z (fractional)
Tb: 0.0630 0.9993 0.8746  2 Tb 3.31-3.52, 1 Pm 3.71, 1 Ho 3.71
Tb: 0.1823 0.9964 0.6389  1 Pm 3.12, 1 Ho 3.17, 1 Tb 3.31
Tb: 0.8177 0.0036 0.3611  1 Pm 3.12, 1 Ho 3.17, 1 Tb 3.31
Tb: 0.9370 0.0007 0.1254  2 Tb 3.31-3.52, 1 Pm 3.71, 1 Ho 3.71
Pm: 0.6686 0.6642 0.9985  4 Pm 3.31-3.56, 1 Ho 3.56, 1 Tb 3.71
Pm: 0.5000 0.5000 0.5000  2 Ho 2.90, 2 Tb 3.12
Pm: 0.2004 0.3441 0.2552  4 Ho 3.30-3.52, 1 Pm 3.56, 3 Tb 3.57-3.67
Pm: 0.7996 0.6559 0.7448  4 Ho 3.30-3.52, 1 Pm 3.56, 3 Tb 3.57-3.67
Pm: 0.3314 0.3358 0.0015  4 Pm 3.31-3.56, 1 Ho 3.56, 1 Tb 3.71
Ho: 0.4569 0.3379 0.7483  5 Pm 3.30-3.58, 3 Tb 3.60-3.68
Ho: 0.0000 0.5000 0.5000  2 Pm 2.90, 2 Tb 3.17
Ho: 0.5431 0.6621 0.2517  5 Pm 3.30-3.58, 3 Tb 3.60-3.68

Output
ΔE to the lowest computed polymorph	212	meV/atom

---

Compound: Tb3Pm4Ho4
Source: Alexandria
Functional: PBE-GGA
Structure: optimized geometry

a = 3.5182 Å, b = 5.6619 Å, c = 18.1932 Å
α = 81.07°, β = 84.44°, γ = 89.99°
Closest atoms and distances in Å follow each position.
Element x y z (fractional)
Tb: 0.1362 0.6359 0.7284  2 Tb 3.52, 6 Ho 3.68-3.70, 6 Pm 3.71-3.88
Tb: 0.8639 0.3642 0.2716  2 Tb 3.52, 6 Ho 3.68-3.70, 6 Pm 3.71-3.88
Tb: 0.0000 0.0000 0.0000  2 Tb 3.52, 4 Pm 3.68, 8 Ho 3.71
Pm: 0.5905 0.0906 0.8191  3 Ho 3.22-3.26, 2 Pm 3.52
Pm: 0.2677 0.2674 0.4651  4 Ho 3.39-3.57, 6 Pm 3.52-3.56
Pm: 0.7323 0.7326 0.5349  4 Ho 3.39-3.57, 6 Pm 3.52-3.56
Pm: 0.4095 0.9095 0.1809  3 Ho 3.22-3.26, 2 Pm 3.52
Ho: 0.5458 0.5456 0.9093  3 Ho 3.25-3.52, 2 Pm 3.26
Ho: 0.4542 0.4545 0.0907  3 Ho 3.25-3.52, 2 Pm 3.26
Ho: 0.3191 0.8194 0.3611  5 Pm 3.22-3.57, 2 Ho 3.52
Ho: 0.6810 0.1807 0.6388  5 Pm 3.22-3.57, 2 Ho 3.52

Output
ΔE to the lowest computed polymorph	0	meV/atom

---

| no. | calculated formation energy (eV/atom) | D(E_F) (states/eV per atom) |
| --- | --- | --- |
| 1 | 0.253 | 1.8850 |
| 2 | 0.094 | 1.1873 |
| 3 | 0.020 | 1.7610 |
| 4 | 0.118 | 1.4607 |
| 5 | 0.012 | 2.0120 |
| 6 | 0.157 | 1.6201 |
| 7 | 0.229 | 1.6178 |
| 8 | 0.227 | 1.5636 |
| 9 | 0.061 | 1.6525 |